This record from Alexandria describes TiTcOs2I after structural relaxation. The functional is PBE.

Values from the calculation:
Crystal system: tetragonal
Size of the total moment (μB per formula unit): 3.29
Total energy (eV per atom): -6.02

```
TiTcOs2I
1.0
4.786 0.000 0.000
0.000 4.786 0.000
0.000 0.000 4.799
Ti Tc Os I
1 1 2 1
direct
0.000 0.000 0.000
0.500 0.500 0.000
0.000 0.500 0.500
0.500 0.000 0.500
0.000 0.000 0.500
```